(1)
! KY2Cl | the Alexandria database | meta-GGA SCAN | single point on PBEsol structure; values from VASP
! symmetry: No. 47
! M_tot: 0.00 μB per formula unit
! E_form (uncorrected): 0.016 eV/atom
! uncorrected energy: -17.98 eV/atom
! V: 33.6 Å³ per atom
&SYSTEM
  ibrav = 0, nat = 4, ntyp = 3
/
ATOMIC_SPECIES
Y 88.91 Y.upf
K 39.10 K.upf
Cl 35.45 Cl.upf
CELL_PARAMETERS angstrom
3.3816 0.0000 0.0000
0.0000 6.2362 0.0000
0.0000 0.0000 6.3683
ATOMIC_POSITIONS crystal
Y 0.0000 0.7513 0.0000
Y 0.0000 0.2487 0.0000
K 0.5000 0.0000 0.5000
Cl 0.5000 0.5000 0.5000

***

(2)
! Pb3Se | the Alexandria database | meta-GGA SCAN | single point on PBEsol structure; values from VASP
! symmetry: No. 139
! M_tot: 0.00 μB per formula unit
! E_form (uncorrected): -0.022 eV/atom
! uncorrected energy: -61.88 eV/atom
! V: 27.6 Å³ per atom
&SYSTEM
  ibrav = 0, nat = 4, ntyp = 2
/
ATOMIC_SPECIES
Pb 207.20 Pb.upf
Se 78.96 Se.upf
CELL_PARAMETERS angstrom
-0.3716 4.5559 -0.1961
-2.3059 -0.3574 -3.9354
-3.1888 -2.3533 4.7417
ATOMIC_POSITIONS crystal
Pb 0.7500 0.2500 0.5000
Pb 0.5000 0.5000 0.0000
Pb 0.2500 0.7500 0.5000
Se 0.0000 0.0000 0.0000

***

(3)
! GdMgAu2 | the Alexandria database | meta-GGA SCAN | single point on PBEsol structure; values from VASP
! symmetry: No. 225
! energy of formation: -0.903 eV per atom
! M_tot: 7.39 μB per formula unit
! uncorrected energy: -51.43 eV/atom
! V: 20.4 Å³ per atom
&SYSTEM
  ibrav = 0, nat = 4, ntyp = 3
/
ATOMIC_SPECIES
Gd 157.25 Gd.upf
Au 196.97 Au.upf
Mg 24.30 Mg.upf
CELL_PARAMETERS angstrom
-3.9280 2.0413 2.0203
-0.4740 0.0954 4.8419
0.4104 4.2117 2.4023
ATOMIC_POSITIONS crystal
Gd 0.0000 0.0000 0.0000
Au 0.2500 0.2500 0.2500
Au 0.7500 0.7500 0.7500
Mg 0.5000 0.5000 0.5000

***

(4)
! YAlTl2 | the Alexandria database | meta-GGA SCAN | single point on PBEsol structure; values from VASP
! symmetry: No. 160
! energy of formation: -0.011 eV per atom
! M_tot: 0.00 μB per formula unit
! energy above the lowest structure with this stoichiometry: 0.120 eV per atom
! uncorrected energy: -45.09 eV/atom
! V: 25.4 Å³ per atom
&SYSTEM
  ibrav = 0, nat = 4, ntyp = 3
/
ATOMIC_SPECIES
Y 88.91 Y.upf
Tl 204.38 Tl.upf
Al 26.98 Al.upf
CELL_PARAMETERS angstrom
-1.6720 -0.4544 2.9413
-0.2500 -3.1226 1.3565
7.9075 0.3366 6.5281
ATOMIC_POSITIONS crystal
Y 0.5044 0.5044 0.4869
Tl 0.7502 0.7502 0.7494
Tl 0.9952 0.9952 0.0143
Al 0.2502 0.2502 0.2494

***

(5)
! YCr2Ru2 | the Alexandria database | meta-GGA SCAN | single point on PBEsol structure; values from VASP
! symmetry: No. 139
! energy of formation: -0.059 eV per atom
! M_tot: 0.00 μB per formula unit
! uncorrected energy: -26.91 eV/atom
! V: 15.9 Å³ per atom
&SYSTEM
  ibrav = 0, nat = 5, ntyp = 3
/
ATOMIC_SPECIES
Y 88.91 Y.upf
Cr 52.00 Cr.upf
Ru 101.07 Ru.upf
CELL_PARAMETERS angstrom
-2.5913 2.4293 2.1196
0.6427 -2.2756 3.3938
4.5179 2.6773 -1.5810
ATOMIC_POSITIONS crystal
Y 0.0000 0.0000 0.0000
Cr 0.3796 0.3796 0.7593
Cr 0.6204 0.6204 0.2407
Ru 0.2500 0.7500 0.5000
Ru 0.7500 0.2500 0.5000

***

(6)
! Li3CrO4 | the Alexandria database | meta-GGA SCAN | single point on PBEsol structure; values from VASP
! symmetry: No. 1
! M_tot: 1.00 μB per formula unit
! energy above the lowest structure with this stoichiometry: 0.066 eV per atom
! E_form (uncorrected): -2.188 eV/atom
! uncorrected energy: -8.50 eV/atom
! V: 11.0 Å³ per atom
&SYSTEM
  ibrav = 0, nat = 16, ntyp = 3
/
ATOMIC_SPECIES
Li 6.94 Li.upf
O 16.00 O.upf
Cr 52.00 Cr.upf
CELL_PARAMETERS angstrom
5.0470 0.0689 -0.0217
2.3800 4.8186 0.0191
2.3584 -0.0278 7.2840
ATOMIC_POSITIONS crystal
Li 0.1986 0.3424 0.1657
Li 0.7674 0.6972 0.8097
Li 0.0294 0.2017 0.5359
Li 0.9604 0.7074 0.4637
Li 0.5315 0.2913 0.4151
Li 0.1827 0.8055 0.0051
O 0.4165 0.0507 0.3319
O 0.3062 0.6331 0.2371
O 0.2910 0.1099 0.9513
O 0.5033 0.5159 0.8267
O 0.7420 0.0335 0.6245
O 0.1592 0.4305 0.6377
O 0.7956 0.4850 0.3749
O 0.8565 0.7008 0.0357
Cr 0.4170 0.2793 0.7695
Cr 0.5879 0.7286 0.2365

***

(7)
! RbAl3Ge | the Alexandria database | meta-GGA SCAN | single point on PBEsol structure; values from VASP
! symmetry: No. 221
! energy of formation: 0.601 eV per atom
! M_tot: 0.00 μB per formula unit
! uncorrected energy: -12.02 eV/atom
! V: 27.0 Å³ per atom
&SYSTEM
  ibrav = 0, nat = 5, ntyp = 3
/
ATOMIC_SPECIES
Al 26.98 Al.upf
Ge 72.64 Ge.upf
Rb 85.47 Rb.upf
CELL_PARAMETERS angstrom
-3.7868 1.2378 3.2290
-3.3801 -0.3138 -3.8437
-0.7302 -4.9666 1.0476
ATOMIC_POSITIONS crystal
Al 0.5000 0.0000 0.0000
Al 0.0000 0.0000 0.5000
Al 0.0000 0.5000 0.0000
Ge 0.0000 0.0000 0.0000
Rb 0.5000 0.5000 0.5000

***

(8)
! TaTl2W | the Alexandria database | meta-GGA SCAN | single point on PBEsol structure; values from VASP
! symmetry: No. 47
! energy of formation: 0.850 eV per atom
! M_tot: 0.00 μB per formula unit
! energy above the lowest structure with this stoichiometry: 0.328 eV per atom
! uncorrected energy: -69.40 eV/atom
! V: 19.3 Å³ per atom
&SYSTEM
  ibrav = 0, nat = 4, ntyp = 3
/
ATOMIC_SPECIES
Ta 180.95 Ta.upf
Tl 204.38 Tl.upf
W 183.84 W.upf
CELL_PARAMETERS angstrom
3.2510 0.0000 0.0000
0.0000 4.8018 0.0000
0.0000 0.0000 4.9469
ATOMIC_POSITIONS crystal
Ta 0.0000 0.5000 0.5000
Tl 0.0000 0.0000 0.0000
Tl 0.5000 0.0000 0.5000
W 0.5000 0.5000 0.0000